## A
A plane-wave DFT calculation with PBE-GGA was carried out for SiIr3Pd after structural relaxation.

Calculated volume (Å³ per atom): 21.27
Calculated density (g cm⁻³): 11.104
Spin magnetization (μB/atom): 0.47
D(E_F) (states/eV/atom): 1.814

Cell: 4.738 4.738 4.738 Å, 90.00 90.00 90.00°
Sites, in units of the cell vectors:
Pd (0.000, 0.000, 0.000)
Ir (0.000, 0.500, 0.000)
Ir (0.500, 0.000, 0.000)
Ir (0.000, 0.000, 0.500)
Si (0.500, 0.500, 0.500)

=====

## B
A plane-wave DFT calculation with PBE-GGA was carried out for SiIr3Pd after structural relaxation.

Calculated volume (Å³ per atom): 17.16
Calculated density (g cm⁻³): 13.766
Spin magnetization (μB/atom): 0.35
D(E_F) (states/eV/atom): 1.809

Cell: 4.410 4.410 4.410 Å, 90.00 90.00 90.00°
Sites, in units of the cell vectors:
Ir (0.000, 0.000, 0.500)
Ir (0.500, 0.000, 0.000)
Ir (0.000, 0.500, 0.000)
Pd (0.500, 0.500, 0.500)
Si (0.000, 0.000, 0.000)

=====

Q: What are the energies relative to the best structure? A: A 1408; B 0, in meV/atom.

=====

## A
A plane-wave DFT calculation with PBE-GGA was carried out for Si2Ir2Pd after structural relaxation.

Calculated volume (Å³ per atom): 15.30
Calculated density (g cm⁻³): 11.875
Spin magnetization (μB/atom): 0.00
D(E_F) (states/eV/atom): 0.796

Cell: 3.682 3.682 6.215 Å, 72.77 72.77 90.00°
Sites, in units of the cell vectors:
Ir (0.618, 0.618, 0.764)
Ir (0.382, 0.382, 0.236)
Si (0.250, 0.750, 0.500)
Si (0.750, 0.250, 0.500)
Pd (0.000, 0.000, 0.000)

=====

## B
A plane-wave DFT calculation with PBE-GGA was carried out for Si2Ir2Pd after structural relaxation.

Calculated volume (Å³ per atom): 14.00
Calculated density (g cm⁻³): 12.978
Spin magnetization (μB/atom): 0.00
D(E_F) (states/eV/atom): 0.348

Cell: 7.069 7.069 2.801 Å, 90.00 90.00 90.00°
Sites, in units of the cell vectors:
Si (0.652, 0.152, 0.000)
Si (0.348, 0.848, 0.000)
Si (0.152, 0.348, 0.000)
Si (0.848, 0.652, 0.000)
Pd (0.000, 0.000, 0.000)
Pd (0.500, 0.500, 0.000)
Ir (0.144, 0.644, 0.500)
Ir (0.644, 0.856, 0.500)
Ir (0.356, 0.144, 0.500)
Ir (0.856, 0.356, 0.500)

=====

## C
A plane-wave DFT calculation with PBE-GGA was carried out for Si2Ir2Pd after structural relaxation.

Calculated volume (Å³ per atom): 14.19
Calculated density (g cm⁻³): 12.800
Spin magnetization (μB/atom): 0.00
D(E_F) (states/eV/atom): 0.305

Cell: 7.154 7.154 2.774 Å, 90.00 90.00 90.00°
Sites, in units of the cell vectors:
Ir (0.142, 0.358, 0.000)
Ir (0.642, 0.142, 0.000)
Ir (0.358, 0.858, 0.000)
Ir (0.858, 0.642, 0.000)
Si (0.655, 0.845, 0.500)
Si (0.845, 0.345, 0.500)
Si (0.155, 0.655, 0.500)
Si (0.345, 0.155, 0.500)
Pd (0.000, 0.000, 0.000)
Pd (0.500, 0.500, 0.000)

=====

Q: What are the energies relative to the best structure? A: A 137; B 0; C 66, in meV/atom.

=====

## A
A plane-wave DFT calculation with PBE-GGA was carried out for Sm2IrPd after structural relaxation.

Calculated volume (Å³ per atom): 23.19
Calculated density (g cm⁻³): 10.731
Spin magnetization (μB/atom): 0.00
D(E_F) (states/eV/atom): 0.643

Cell: 4.414 5.778 7.747 Å, 110.14 90.00 90.00°
Sites, in units of the cell vectors:
Sm (0.750, 0.229, 0.424)
Sm (0.250, 0.771, 0.576)
Sm (0.250, 0.783, 0.063)
Sm (0.750, 0.217, 0.937)
Ir (0.250, 0.332, 0.210)
Ir (0.750, 0.668, 0.790)
Pd (0.250, 0.323, 0.706)
Pd (0.750, 0.677, 0.294)

=====

## B
A plane-wave DFT calculation with PBE-GGA was carried out for Sm2IrPd after structural relaxation.

Calculated volume (Å³ per atom): 22.11
Calculated density (g cm⁻³): 11.253
Spin magnetization (μB/atom): 0.00
D(E_F) (states/eV/atom): 0.783

Cell: 5.001 5.001 5.001 Å, 60.00 60.00 60.00°
Sites, in units of the cell vectors:
Sm (0.750, 0.750, 0.750)
Sm (0.250, 0.250, 0.250)
Ir (0.500, 0.500, 0.500)
Pd (0.000, 0.000, 0.000)

=====

## C
A plane-wave DFT calculation with PBE-GGA was carried out for Sm2IrPd after structural relaxation.

Calculated volume (Å³ per atom): 22.32
Calculated density (g cm⁻³): 11.148
Spin magnetization (μB/atom): 0.00
D(E_F) (states/eV/atom): 0.423

Cell: 3.548 3.548 7.091 Å, 90.00 90.00 90.00°
Sites, in units of the cell vectors:
Pd (0.500, 0.500, 0.500)
Sm (0.000, 0.000, 0.762)
Sm (0.000, 0.000, 0.238)
Ir (0.500, 0.500, 0.000)

=====

Q: What are the energies relative to the best structure? A: A 0; B 34; C 41, in meV/atom.

=====

## A
A plane-wave DFT calculation with PBE-GGA was carried out for Sn3IrPd after structural relaxation.

Calculated volume (Å³ per atom): 22.52
Calculated density (g cm⁻³): 9.655
Spin magnetization (μB/atom): 0.00
D(E_F) (states/eV/atom): 0.441

Cell: 3.709 8.078 8.097 Å, 68.17 90.00 90.00°
Sites, in units of the cell vectors:
Sn (0.863, 0.607, 0.055)
Sn (0.864, 0.001, 0.661)
Sn (0.363, 0.342, 0.395)
Sn (0.363, 0.047, 0.098)
Sn (0.864, 0.387, 0.832)
Sn (0.863, 0.781, 0.438)
Pd (0.363, 0.694, 0.747)
Pd (0.863, 0.194, 0.247)
Ir (0.364, 0.194, 0.747)
Ir (0.363, 0.694, 0.246)

=====

## B
A plane-wave DFT calculation with PBE-GGA was carried out for Sn3IrPd after structural relaxation.

Calculated volume (Å³ per atom): 26.49
Calculated density (g cm⁻³): 8.208
Spin magnetization (μB/atom): 0.00
D(E_F) (states/eV/atom): 0.963

Cell: 5.098 5.098 5.098 Å, 90.00 90.00 90.00°
Sites, in units of the cell vectors:
Sn (0.500, 0.000, 0.000)
Sn (0.000, 0.000, 0.500)
Sn (0.000, 0.500, 0.000)
Ir (0.000, 0.000, 0.000)
Pd (0.500, 0.500, 0.500)

=====

Q: What are the energies relative to the best structure? A: A 0; B 436, in meV/atom.